First-principles (GGA-PBE) data for a relaxed structure of Hf2PaHg, as listed in Alexandria via LeMat-Bulk.

Computed properties:
space group: No. 123
mass density: 14.70 g/cm³
offset from the most stable computed form: 36 kJ/mol of formula units
N(E_F): 1.133 states/eV/atom
ΔE_f: 72 meV/atom
final energy: -7.3541 eV/atom

Cell: 3.5901 3.5901 6.9107 Å, 90.00 90.00 90.00°
With the nearest neighbours (Å) after each atom.
Atoms (fractional coordinates):
Hf  0.0000  0.0000  0.2506  4 Hg 3.07, 4 Pa 3.07
Hf  0.0000  0.0000  0.7494  4 Hg 3.07, 4 Pa 3.07
Hg  0.5000  0.5000  0.5000  8 Hf 3.07
Pa  0.5000  0.5000  0.0000  8 Hf 3.07